Zr4Co4Ge7 (SCAN, PBEsol geometry); formation enthalpy at 0 K = -924 kJ/mol of formula units; total magnetic moment = 0.00 Bohr magnetons per cell
1.0
-6.5471 6.5471 2.5836
6.5471 -6.5471 2.5836
6.5471 6.5471 -2.5836
Zr Co Ge
8 8 14
direct
0.0000 0.1958 0.1958
0.0000 0.8042 0.8042
0.1958 0.0000 0.1958
0.3611 0.3611 0.7223
0.3611 0.6389 0.0000
0.6389 0.3611 0.0000
0.6389 0.6389 0.2777
0.8042 0.0000 0.8042
0.1016 0.6016 0.2033
0.1016 0.8984 0.5000
0.3984 0.6016 0.5000
0.3984 0.8984 0.7967
0.6016 0.1016 0.2033
0.6016 0.3984 0.5000
0.8984 0.1016 0.5000
0.8984 0.3984 0.7967
0.0000 0.4059 0.4059
0.0000 0.5941 0.5941
0.2063 0.5000 0.7063
0.2081 0.2081 0.4161
0.2081 0.7919 0.0000
0.2508 0.2508 0.0000
0.4059 0.0000 0.4059
0.5000 0.2063 0.7063
0.5000 0.7937 0.2937
0.5941 0.0000 0.5941
0.7492 0.7492 0.0000
0.7919 0.2081 0.0000
0.7919 0.7919 0.5839
0.7937 0.5000 0.2937